# 1
Na2OsF7: optimized geometry, GGA-PBE.

Results
- space group = No. 15

Unit cell a=6.2259 b=7.1234 c=7.6441 alpha=74.46 beta=65.97 gamma=64.09
Atoms (fractional coordinates):
Na: 0.6116 0.8980 0.7106
Na: 0.7798 0.3980 0.2106
Na: 0.2202 0.6020 0.7894
Na: 0.3884 0.1020 0.2894
Os: 0.8664 0.2500 0.7500
Os: 0.1336 0.7500 0.2500
F: 0.6352 0.5452 0.7723
F: 0.0473 0.0452 0.2723
F: 0.2632 0.8406 0.9731
F: 0.2412 0.1299 0.6310
F: 0.5519 0.2500 0.7500
F: 0.9231 0.3406 0.4731
F: 0.0020 0.3701 0.8690
F: 0.9980 0.6299 0.1310
F: 0.0769 0.6594 0.5269
F: 0.4481 0.7500 0.2500
F: 0.7588 0.8701 0.3690
F: 0.7368 0.1594 0.0269
F: 0.9527 0.9548 0.7277
F: 0.3648 0.4548 0.2277


# 2
NaOs2F11: optimized geometry, GGA-PBE.

Results
- space group = No. 72

Unit cell a=9.2210 b=8.3929 c=8.3929 alpha=66.40 beta=56.68 gamma=56.68
Atoms (fractional coordinates):
Na: 0.7500 0.7500 0.7500
Na: 0.2500 0.2500 0.2500
Os: 0.6577 0.6589 0.3411
Os: 0.3423 0.3411 0.6589
Os: 0.8423 0.1589 0.8411
Os: 0.1577 0.8411 0.1589
F: 0.6342 0.6833 0.5716
F: 0.3658 0.3167 0.4284
F: 0.1110 0.5716 0.6833
F: 0.8658 0.9284 0.8167
F: 0.8890 0.4284 0.3167
F: 0.1342 0.0716 0.1833
F: 0.3890 0.8167 0.9284
F: 0.6110 0.1833 0.0716
F: 0.5000 0.5000 0.5000
F: 0.0000 0.0000 0.0000
F: 0.7997 0.8014 0.1986
F: 0.2003 0.1986 0.8014
F: 0.7003 0.3014 0.6986
F: 0.2997 0.6986 0.3014
F: 0.4273 0.8905 0.3638
F: 0.5727 0.1095 0.6362
F: 0.3184 0.3638 0.8905
F: 0.0727 0.1362 0.6095
F: 0.6816 0.6362 0.1095
F: 0.9273 0.8638 0.3905
F: 0.1816 0.6095 0.1362
F: 0.8184 0.3905 0.8638


# 3
NaOsF3: optimized geometry, GGA-PBE.

Results
- space group = No. 221

Unit cell a=4.0615 b=4.0615 c=4.0615 alpha=90.00 beta=90.00 gamma=90.00
Atoms (fractional coordinates):
Na: 0.0000 0.0000 0.0000
Os: 0.5000 0.5000 0.5000
F: 0.0000 0.5000 0.0000
F: 0.0000 0.0000 0.5000
F: 0.5000 0.0000 0.0000


Uncorrected energy values, unit eV/atom, following the record order: -4.811 -5.078 -4.166.
Raw formation energy values, unit eV/atom, following the record order: -2.114 -1.909 -0.534.
Size of the total moment values, unit Bohr magnetons per cell, following the record order: 2.001 12.000 4.212.